1.
A relaxed Na2LiTl5Cd2 crystal. Source: the Alexandria database, functional PBE.

Cell lengths 11.580, 11.580, 4.254 Å; angles 90.00, 90.00, 90.00 degrees
Positions (direct):
Na 0.169 0.331 0.000
Na 0.331 0.831 0.000
Na 0.669 0.169 0.000
Na 0.831 0.669 0.000
Li 0.000 0.000 0.000
Li 0.500 0.500 0.000
Tl 0.000 0.500 0.500
Tl 0.060 0.810 0.500
Tl 0.190 0.060 0.500
Tl 0.310 0.560 0.500
Tl 0.440 0.310 0.500
Tl 0.500 0.000 0.500
Tl 0.560 0.690 0.500
Tl 0.690 0.440 0.500
Tl 0.810 0.940 0.500
Tl 0.940 0.190 0.500
Cd 0.134 0.634 0.000
Cd 0.366 0.134 0.000
Cd 0.634 0.866 0.000
Cd 0.866 0.366 0.000

Results
Size of the total moment ... 0.00 μB/f.u.
DFT total energy ... -1.8709 eV/atom
Calculated formation energy ... -49.5 meV per atom

***

2.
A relaxed Li2WAu crystal. Source: the Alexandria database, functional PBE.

Cell lengths 9.727, 2.675, 4.965 Å; angles 90.00, 101.97, 90.00 degrees
Positions (direct):
Li 0.245 0.000 0.256
Li 0.255 0.500 0.744
Li 0.745 0.500 0.256
Li 0.755 0.000 0.744
W 0.000 0.000 0.500
W 0.500 0.500 0.500
Au 0.000 0.500 0.000
Au 0.500 0.000 0.000

Results
Energy above the most stable polymorph in this dataset ... 153 meV/atom
Size of the total moment ... 0.13 μB/f.u.
DFT total energy ... -4.7695 eV/atom
Calculated formation energy ... 245.0 meV per atom

***

3.
A relaxed Ac2Zn3Ag12Sn crystal. Source: the Alexandria database, functional PBE.

Cell lengths 10.805, 10.805, 10.805 Å; angles 37.38, 37.38, 37.38 degrees
Positions (direct):
Ac 0.141 0.141 0.141
Ac 0.859 0.859 0.859
Zn 0.000 0.500 0.500
Zn 0.500 0.000 0.500
Zn 0.500 0.500 0.000
Ag 0.082 0.610 0.610
Ag 0.091 0.091 0.691
Ag 0.091 0.691 0.091
Ag 0.309 0.909 0.909
Ag 0.390 0.390 0.918
Ag 0.390 0.918 0.390
Ag 0.610 0.082 0.610
Ag 0.610 0.610 0.082
Ag 0.691 0.091 0.091
Ag 0.909 0.309 0.909
Ag 0.909 0.909 0.309
Ag 0.918 0.390 0.390
Sn 0.500 0.500 0.500

Results
Size of the total moment ... 0.00 μB/f.u.
DFT total energy ... -2.7600 eV/atom
Calculated formation energy ... 32.1 meV per atom

***

Which of these has the lowest DFT total energy? Li2WAu